Computed, not measured: Li4V2OF7 after structural relaxation at the PBE+U level of DFT.

Values from the calculation:
Calculated density, Mg/m³: 2.9
Spin magnetization, μB/cell: 5.00
Total DFT energy (no corrections), eV/atom: -5.63
SG: No. 1

extended XYZ file:
```
14
Lattice="-0.0304 -1.3954 -5.8019 4.6125 -3.1061 -2.3216 -0.9829 -5.7245 -1.6456" Properties=species:S:1:pos:R:3 pbc="T T T"
Li 1.7417 -5.0504 -4.9374
Li 3.1192 -9.0656 -8.5762
Li 0.5247 -1.2210 -1.1358
Li 1.8275 -4.4002 -1.9947
V 2.2210 -2.3026 -4.1419
V -0.4814 -3.5715 -3.7700
O 0.9527 -3.1904 -5.1530
F 0.5133 -6.1722 -6.1314
F 0.5329 -5.3268 -3.2581
F 2.6464 -7.6578 -7.2820
F 3.1444 -3.9973 -3.5760
F 0.9456 -2.5890 -2.4999
F 3.0668 -4.9170 -6.4768
F 2.6397 -7.0069 -4.5659
```